Sr2HgPRh (PBE, relaxed); formation energy = -593 meV/atom
1.0
-2.203 5.045 2.011
-5.379 -1.727 -1.559
-0.558 -1.810 3.930
Sr Rh Hg P
2 1 1 1
Direct
0.000 0.500 0.000 Sr
0.500 0.000 0.000 Sr
0.000 0.000 0.500 Rh
0.500 0.500 0.500 Hg
0.000 0.000 0.000 P